VASP calculation (GGA+U) on an optimized crystal structure of Na3Zn2MoO6.

- energy (Ha/atom) = -0.191
- density (kg/m3) = 4655
- space-group type = C2/m, No. 12

```
Na3Zn2MoO6
1.0
2.6563 -4.8547 0.0000
2.6563 4.8547 0.0000
-1.6055 0.0000 5.4185
Na Zn Mo O
3 2 1 6
Cartesian
0.0000 0.0000 0.0000
2.6563 1.7074 0.0000
2.6563 -1.7074 0.0000
1.8535 3.1213 2.7092
1.8535 -3.1213 2.7092
1.8535 0.0000 2.7092
0.9297 1.5191 1.5986
0.3321 0.0000 3.8829
0.9297 -1.5191 1.5986
2.7774 1.5191 3.8198
3.3750 0.0000 1.5356
2.7774 -1.5191 3.8198
```